[1]
Ca2RuPb2: relaxed, GGA-PBE.

## Properties
SG ... P4/mbm, No. 127
Energy of formation from the pure elements ... -0.093 eV per atom

a b c (Å): 7.3628 7.3628 4.8975
angles (deg): 90.00 90.00 90.00
Fractional positions:
1 Pb 0.1479 0.3521 0.0000
2 Pb 0.6479 0.1479 0.0000
3 Pb 0.8521 0.6479 0.0000
4 Pb 0.3521 0.8521 0.0000
5 Ru 0.5000 0.5000 0.0000
6 Ru 0.0000 0.0000 0.0000
7 Ca 0.1716 0.6716 0.5000
8 Ca 0.8284 0.3284 0.5000
9 Ca 0.3284 0.1716 0.5000
10 Ca 0.6716 0.8284 0.5000

---

[2]
Tb2Cu3Ag: relaxed, GGA-PBE.

## Properties
SG ... Fmmm, No. 69
Energy of formation from the pure elements ... -0.232 eV per atom

a b c (Å): 5.6324 5.6324 8.3933
angles (deg): 105.61 105.61 101.43
Fractional positions:
1 Cu 0.1622 0.1622 0.3243
2 Cu 0.3230 0.8385 0.1615
3 Cu 0.6770 0.1615 0.8385
4 Cu 0.8385 0.3230 0.1615
5 Cu 0.8378 0.8378 0.6757
6 Cu 0.1615 0.6770 0.8385
7 Ag 0.3335 0.3335 0.6669
8 Ag 0.6665 0.6665 0.3331
9 Tb 0.7530 0.7530 0.0000
10 Tb 0.7500 0.2500 0.5000
11 Tb 0.2500 0.7500 0.5000
12 Tb 0.2470 0.2470 0.0000

---

Number 1: E_tot -4.232 eV/atom. Number 2: E_tot -4.299 eV/atom.